The following is a DFT calculation (PBE) of a relaxed CaAcSiSn crystal.

Calculated values
As for the density of states at the Fermi level: 2.319 states/eV/cell. The value obtained for the formation energy from raw total energies is -389 meV/atom.

Cell: 5.479 5.479 5.479 Å, 60.00 60.00 60.00°
Sites, in units of the cell vectors:
Ac (0.500, 0.500, 0.500)
Ca (0.000, 0.000, 0.000)
Si (0.750, 0.750, 0.750)
Sn (0.250, 0.250, 0.250)